(1)
Computed, not measured: crystalline LaTaRu at its relaxed geometry at the PBE level of DFT.

Formation energy ... 39 kJ/mol of atoms
Energy relative to the lowest polymorph listed for this composition ... 1.85 eV per formula unit
Size of the total moment ... 0.0 μB/f.u.
Raw total energy ... -8.2802 eV per atom

Unit cell a=6.590 b=6.590 c=6.590 alpha=90.00 beta=90.00 gamma=90.00
Atoms (fractional coordinates):
La (0.000, 0.000, 0.000)
La (0.000, 0.500, 0.500)
La (0.500, 0.000, 0.500)
La (0.500, 0.500, 0.000)
Ta (0.000, 0.000, 0.500)
Ta (0.000, 0.500, 0.000)
Ta (0.500, 0.000, 0.000)
Ta (0.500, 0.500, 0.500)
Ru (0.250, 0.250, 0.250)
Ru (0.250, 0.750, 0.750)
Ru (0.750, 0.250, 0.750)
Ru (0.750, 0.750, 0.250)


(2)
Computed, not measured: crystalline ZrPa2MnN4 at its relaxed geometry at the PBE level of DFT.

Raw formation energy ... -1.21 eV/atom
Size of the total moment ... 4.2 μB/f.u.
Raw total energy ... -9.9592 eV per atom

Unit cell a=6.734 b=6.734 c=6.734 alpha=120.96 beta=119.00 gamma=90.05
Atoms (fractional coordinates):
Zr (0.500, 0.000, 0.000)
Zr (0.500, 0.500, 0.500)
Pa (0.000, 0.000, 0.000)
Pa (0.000, 0.000, 0.500)
Pa (0.000, 0.500, 0.000)
Pa (0.500, 0.000, 0.500)
Mn (0.000, 0.500, 0.500)
Mn (0.500, 0.500, 0.000)
N (0.254, 0.253, 0.499)
N (0.254, 0.755, 0.001)
N (0.256, 0.746, 0.510)
N (0.264, 0.254, 0.010)
N (0.736, 0.746, 0.990)
N (0.744, 0.254, 0.490)
N (0.746, 0.245, 0.999)
N (0.746, 0.747, 0.501)


(3)
Computed, not measured: crystalline Sm4SiHSe2 at its relaxed geometry at the PBE level of DFT.

Size of the total moment ... 0.0 μB/f.u.
Raw total energy ... -5.4852 eV per atom

Unit cell a=6.972 b=4.127 c=7.178 alpha=90.00 beta=108.86 gamma=90.00
Atoms (fractional coordinates):
Sm (0.248, 0.000, 0.256)
Sm (0.249, 0.500, 0.735)
Sm (0.751, 0.500, 0.265)
Sm (0.752, 0.000, 0.744)
Si (0.000, 0.000, 0.500)
H (0.500, 0.500, 0.500)
Se (0.000, 0.500, 0.000)
Se (0.500, 0.000, 0.000)


(4)
Computed, not measured: crystalline Pr4AsP2N at its relaxed geometry at the PBE level of DFT.

Raw formation energy ... -1.30 eV/atom
Size of the total moment ... 0.0 μB/f.u.
Raw total energy ... -6.6660 eV per atom

Unit cell a=7.280 b=7.280 c=14.539 alpha=90.00 beta=90.00 gamma=146.79
Atoms (fractional coordinates):
Pr (0.000, 0.000, 0.000)
Pr (0.000, 0.000, 0.500)
Pr (0.261, 0.739, 0.628)
Pr (0.261, 0.739, 0.872)
Pr (0.435, 0.565, 0.250)
Pr (0.565, 0.435, 0.750)
Pr (0.739, 0.261, 0.128)
Pr (0.739, 0.261, 0.372)
As (0.112, 0.888, 0.250)
As (0.888, 0.112, 0.750)
P (0.368, 0.632, 0.053)
P (0.368, 0.632, 0.447)
P (0.632, 0.368, 0.553)
P (0.632, 0.368, 0.947)
N (0.156, 0.844, 0.750)
N (0.844, 0.156, 0.250)


(5)
Computed, not measured: crystalline La2PmSmY6 at its relaxed geometry at the PBE level of DFT.

Formation energy ... 11 kJ/mol of atoms
Size of the total moment ... 0.0 μB/f.u.
Raw total energy ... -5.6951 eV per atom

Unit cell a=8.778 b=8.778 c=10.091 alpha=96.04 beta=96.04 gamma=117.27
Atoms (fractional coordinates):
La (0.189, 0.280, 0.044)
La (0.280, 0.189, 0.544)
La (0.720, 0.811, 0.456)
La (0.811, 0.720, 0.956)
Pm (0.403, 0.597, 0.750)
Pm (0.597, 0.403, 0.250)
Sm (0.012, 0.988, 0.250)
Sm (0.988, 0.012, 0.750)
Y (0.023, 0.581, 0.186)
Y (0.117, 0.734, 0.556)
Y (0.266, 0.883, 0.944)
Y (0.302, 0.510, 0.382)
Y (0.419, 0.977, 0.314)
Y (0.490, 0.698, 0.118)
Y (0.510, 0.302, 0.882)
Y (0.581, 0.023, 0.686)
Y (0.698, 0.490, 0.618)
Y (0.734, 0.117, 0.056)
Y (0.883, 0.266, 0.444)
Y (0.977, 0.419, 0.814)


(6)
Computed, not measured: crystalline Al2V2Tc at its relaxed geometry at the PBE level of DFT.

Formation energy ... -7 kJ/mol of atoms
Size of the total moment ... 0.7 μB/f.u.
Raw total energy ... -7.2871 eV per atom

Unit cell a=6.661 b=6.661 c=3.241 alpha=90.00 beta=90.00 gamma=90.00
Atoms (fractional coordinates):
Al (0.133, 0.367, 0.000)
Al (0.367, 0.867, 0.000)
Al (0.633, 0.133, 0.000)
Al (0.867, 0.633, 0.000)
V (0.168, 0.668, 0.500)
V (0.332, 0.168, 0.500)
V (0.668, 0.832, 0.500)
V (0.832, 0.332, 0.500)
Tc (0.000, 0.000, 0.000)
Tc (0.500, 0.500, 0.000)


(7)
Computed, not measured: crystalline BeHCl at its relaxed geometry at the PBE level of DFT.

Energy relative to the lowest polymorph listed for this composition ... 0.12 eV per formula unit
Size of the total moment ... 0.0 μB/f.u.
Raw total energy ... -3.6859 eV per atom

Unit cell a=11.370 b=4.028 c=3.874 alpha=90.00 beta=90.31 gamma=90.00
Atoms (fractional coordinates):
Be (0.000, 0.000, 0.000)
Be (0.000, 0.409, 0.500)
Be (0.500, 0.500, 0.000)
Be (0.500, 0.909, 0.500)
H (0.061, 0.204, 0.251)
H (0.439, 0.704, 0.749)
H (0.561, 0.704, 0.251)
H (0.939, 0.204, 0.749)
Cl (0.120, 0.704, 0.752)
Cl (0.380, 0.204, 0.248)
Cl (0.620, 0.204, 0.752)
Cl (0.880, 0.704, 0.248)


(8)
Computed, not measured: crystalline Sb3AuC at its relaxed geometry at the PBE level of DFT.

Raw formation energy ... 0.93 eV/atom
Energy relative to the lowest polymorph listed for this composition ... 0.00 eV per formula unit
Size of the total moment ... 0.0 μB/f.u.
Raw total energy ... -4.0402 eV per atom

Unit cell a=4.756 b=4.756 c=4.756 alpha=90.00 beta=90.00 gamma=90.00
Atoms (fractional coordinates):
Sb (0.000, 0.000, 0.500)
Sb (0.000, 0.500, 0.000)
Sb (0.500, 0.000, 0.000)
Au (0.500, 0.500, 0.500)
C (0.000, 0.000, 0.000)


(9)
Computed, not measured: crystalline Er6GePb2C at its relaxed geometry at the PBE level of DFT.

Formation energy ... -39 kJ/mol of atoms
Size of the total moment ... 0.0 μB/f.u.
Raw total energy ... -5.2705 eV per atom

Unit cell a=5.136 b=5.136 c=10.127 alpha=90.00 beta=90.00 gamma=90.00
Atoms (fractional coordinates):
Er (0.000, 0.000, 0.230)
Er (0.000, 0.000, 0.770)
Er (0.000, 0.500, 0.000)
Er (0.000, 0.500, 0.500)
Er (0.500, 0.000, 0.000)
Er (0.500, 0.000, 0.500)
Ge (0.000, 0.000, 0.500)
Pb (0.500, 0.500, 0.245)
Pb (0.500, 0.500, 0.755)
C (0.000, 0.000, 0.000)


(10)
Computed, not measured: crystalline Mn2NiP2 at its relaxed geometry at the PBE level of DFT.

Formation energy ... -31 kJ/mol of atoms
Size of the total moment ... 1.2 μB/f.u.
Raw total energy ... -7.3106 eV per atom

Unit cell a=6.422 b=6.422 c=2.694 alpha=90.00 beta=90.00 gamma=90.00
Atoms (fractional coordinates):
Mn (0.145, 0.355, 0.000)
Mn (0.355, 0.855, 0.000)
Mn (0.645, 0.145, 0.000)
Mn (0.855, 0.645, 0.000)
Ni (0.000, 0.000, 0.500)
Ni (0.500, 0.500, 0.500)
P (0.154, 0.654, 0.500)
P (0.346, 0.154, 0.500)
P (0.654, 0.846, 0.500)
P (0.846, 0.346, 0.500)


(11)
Computed, not measured: crystalline Pr2SmDy7 at its relaxed geometry at the PBE level of DFT.

Formation energy ... 15 kJ/mol of atoms
Energy relative to the lowest polymorph listed for this composition ... 1.44 eV per formula unit
Size of the total moment ... 0.0 μB/f.u.
Raw total energy ... -4.4893 eV per atom

Unit cell a=14.875 b=14.875 c=3.520 alpha=90.00 beta=90.00 gamma=154.58
Atoms (fractional coordinates):
Pr (0.207, 0.793, 0.000)
Pr (0.793, 0.207, 0.000)
Sm (0.500, 0.500, 0.500)
Dy (0.000, 0.000, 0.000)
Dy (0.155, 0.352, 0.000)
Dy (0.315, 0.685, 0.500)
Dy (0.352, 0.155, 0.000)
Dy (0.648, 0.845, 0.000)
Dy (0.685, 0.315, 0.500)
Dy (0.845, 0.648, 0.000)


(12)
Computed, not measured: crystalline Ba3TlCu2O6 at its relaxed geometry at the PBE level of DFT.

Raw formation energy ... -1.42 eV/atom
Size of the total moment ... 1.0 μB/f.u.
Raw total energy ... -5.2559 eV per atom

Unit cell a=6.215 b=6.215 c=6.900 alpha=90.00 beta=90.00 gamma=120.00
Atoms (fractional coordinates):
Ba (0.000, 0.000, 0.000)
Ba (0.333, 0.667, 0.646)
Ba (0.667, 0.333, 0.354)
Tl (0.000, 0.000, 0.500)
Cu (0.333, 0.667, 0.203)
Cu (0.667, 0.333, 0.797)
O (0.169, 0.337, 0.296)
O (0.169, 0.831, 0.296)
O (0.337, 0.169, 0.704)
O (0.663, 0.831, 0.296)
O (0.831, 0.169, 0.704)
O (0.831, 0.663, 0.704)


(13)
Computed, not measured: crystalline NaAg4Pb at its relaxed geometry at the PBE level of DFT.

Formation energy ... -3 kJ/mol of atoms
Size of the total moment ... 0.0 μB/f.u.
Raw total energy ... -2.7651 eV per atom

Unit cell a=5.676 b=5.676 c=5.676 alpha=60.00 beta=60.00 gamma=60.00
Atoms (fractional coordinates):
Na (0.000, 0.000, 0.000)
Ag (0.375, 0.375, 0.375)
Ag (0.375, 0.375, 0.876)
Ag (0.375, 0.876, 0.375)
Ag (0.876, 0.375, 0.375)
Pb (0.750, 0.750, 0.750)


(14)
Computed, not measured: crystalline LaReSn2 at its relaxed geometry at the PBE level of DFT.

Formation energy ... 7 kJ/mol of atoms
Energy relative to the lowest polymorph listed for this composition ... 0.00 eV per formula unit
Size of the total moment ... 0.0 μB/f.u.
Raw total energy ... -6.2723 eV per atom

Unit cell a=7.108 b=7.108 c=7.108 alpha=90.00 beta=90.00 gamma=90.00
Atoms (fractional coordinates):
La (0.000, 0.000, 0.000)
La (0.000, 0.500, 0.500)
La (0.500, 0.000, 0.500)
La (0.500, 0.500, 0.000)
Re (0.000, 0.000, 0.500)
Re (0.000, 0.500, 0.000)
Re (0.500, 0.000, 0.000)
Re (0.500, 0.500, 0.500)
Sn (0.250, 0.250, 0.250)
Sn (0.250, 0.250, 0.750)
Sn (0.250, 0.750, 0.250)
Sn (0.250, 0.750, 0.750)
Sn (0.750, 0.250, 0.250)
Sn (0.750, 0.250, 0.750)
Sn (0.750, 0.750, 0.250)
Sn (0.750, 0.750, 0.750)


(15)
Computed, not measured: crystalline Tl2NO at its relaxed geometry at the PBE level of DFT.

Raw formation energy ... 0.32 eV/atom
Energy relative to the lowest polymorph listed for this composition ... 0.51 eV per formula unit
Size of the total moment ... 0.0 μB/f.u.
Raw total energy ... -4.1855 eV per atom

Unit cell a=6.118 b=3.584 c=6.201 alpha=90.00 beta=108.83 gamma=90.00
Atoms (fractional coordinates):
Tl (0.240, 0.250, 0.495)
Tl (0.241, 0.750, 0.995)
Tl (0.759, 0.250, 0.005)
Tl (0.760, 0.750, 0.505)
N (0.003, 0.250, 0.765)
N (0.997, 0.750, 0.235)
O (0.493, 0.250, 0.224)
O (0.507, 0.750, 0.776)


(16)
Computed, not measured: crystalline Mn3GaRu at its relaxed geometry at the PBE level of DFT.

Formation energy ... 160 kJ/mol of atoms
Size of the total moment ... 1.3 μB/f.u.
Raw total energy ... -6.3046 eV per atom

Unit cell a=4.250 b=4.250 c=4.250 alpha=90.00 beta=90.00 gamma=90.00
Atoms (fractional coordinates):
Mn (0.000, 0.000, 0.500)
Mn (0.000, 0.500, 0.000)
Mn (0.500, 0.000, 0.000)
Ga (0.000, 0.000, 0.000)
Ru (0.500, 0.500, 0.500)


(17)
Computed, not measured: crystalline LaPaSb2 at its relaxed geometry at the PBE level of DFT.

Raw formation energy ... -0.84 eV/atom
Energy relative to the lowest polymorph listed for this composition ... 0.00 eV per formula unit
Size of the total moment ... 0.9 μB/f.u.
Raw total energy ... -6.5098 eV per atom

Unit cell a=4.467 b=4.467 c=22.263 alpha=90.00 beta=90.00 gamma=120.00
Atoms (fractional coordinates):
La (0.000, 0.000, 0.000)
La (0.333, 0.667, 0.667)
La (0.667, 0.333, 0.333)
Pa (0.000, 0.000, 0.500)
Pa (0.333, 0.667, 0.167)
Pa (0.667, 0.333, 0.833)
Sb (0.000, 0.000, 0.245)
Sb (0.000, 0.000, 0.755)
Sb (0.333, 0.667, 0.422)
Sb (0.333, 0.667, 0.912)
Sb (0.667, 0.333, 0.088)
Sb (0.667, 0.333, 0.578)


(18)
Computed, not measured: crystalline Cu3GePd4 at its relaxed geometry at the PBE level of DFT.

Formation energy ... -26 kJ/mol of atoms
Size of the total moment ... 0.0 μB/f.u.
Raw total energy ... -4.9839 eV per atom

Unit cell a=4.373 b=4.373 c=11.705 alpha=90.00 beta=90.00 gamma=90.00
Atoms (fractional coordinates):
Cu (0.000, 0.000, 0.000)
Cu (0.000, 0.000, 0.247)
Cu (0.000, 0.000, 0.753)
Cu (0.500, 0.500, 0.253)
Cu (0.500, 0.500, 0.500)
Cu (0.500, 0.500, 0.747)
Ge (0.000, 0.000, 0.500)
Ge (0.500, 0.500, 0.000)
Pd (0.000, 0.500, 0.123)
Pd (0.000, 0.500, 0.377)
Pd (0.000, 0.500, 0.623)
Pd (0.000, 0.500, 0.877)
Pd (0.500, 0.000, 0.123)
Pd (0.500, 0.000, 0.377)
Pd (0.500, 0.000, 0.623)
Pd (0.500, 0.000, 0.877)


(19)
Computed, not measured: crystalline LiSc2MoBr at its relaxed geometry at the PBE level of DFT.

Raw formation energy ... 0.41 eV/atom
Size of the total moment ... 1.9 μB/f.u.
Raw total energy ... -5.0103 eV per atom

Unit cell a=5.068 b=5.068 c=4.216 alpha=90.00 beta=90.00 gamma=90.00
Atoms (fractional coordinates):
Li (0.000, 0.000, 0.000)
Sc (0.000, 0.500, 0.500)
Sc (0.500, 0.000, 0.500)
Mo (0.500, 0.500, 0.000)
Br (0.000, 0.000, 0.500)


(20)
Computed, not measured: crystalline Mn2MoAu at its relaxed geometry at the PBE level of DFT.

Formation energy ... 19 kJ/mol of atoms
Energy relative to the lowest polymorph listed for this composition ... 0.30 eV per formula unit
Size of the total moment ... 6.0 μB/f.u.
Raw total energy ... -7.9174 eV per atom

Unit cell a=3.598 b=4.261 c=7.963 alpha=90.00 beta=90.00 gamma=90.00
Atoms (fractional coordinates):
Mn (0.000, 0.000, 0.239)
Mn (0.000, 0.000, 0.761)
Mn (0.500, 0.500, 0.239)
Mn (0.500, 0.500, 0.761)
Mo (0.000, 0.500, 0.000)
Mo (0.500, 0.000, 0.000)
Au (0.000, 0.500, 0.500)
Au (0.500, 0.000, 0.500)


(21)
Computed, not measured: crystalline Cs2PuAgS4 at its relaxed geometry at the PBE level of DFT.

Raw formation energy ... -0.86 eV/atom
Size of the total moment ... 3.0 μB/f.u.
Raw total energy ... -5.2848 eV per atom

Unit cell a=14.650 b=13.017 c=8.124 alpha=84.35 beta=62.16 gamma=33.49
Atoms (fractional coordinates):
Cs (0.055, 0.055, 0.695)
Cs (0.305, 0.305, 0.945)
Cs (0.695, 0.695, 0.055)
Cs (0.945, 0.945, 0.305)
Pu (0.125, 0.125, 0.125)
Pu (0.875, 0.875, 0.875)
Ag (0.375, 0.375, 0.375)
Ag (0.625, 0.625, 0.625)
S (0.031, 0.315, 0.424)
S (0.270, 0.576, 0.685)
S (0.315, 0.031, 0.730)
S (0.424, 0.730, 0.031)
S (0.576, 0.270, 0.969)
S (0.685, 0.969, 0.270)
S (0.730, 0.424, 0.315)
S (0.969, 0.685, 0.576)


(22)
Computed, not measured: crystalline DyEr6In4 at its relaxed geometry at the PBE level of DFT.

Formation energy ... -8 kJ/mol of atoms
Size of the total moment ... 1.0 μB/f.u.
Raw total energy ... -3.9822 eV per atom

Unit cell a=7.946 b=7.946 c=7.946 alpha=122.33 beta=122.33 gamma=86.02
Atoms (fractional coordinates):
Dy (0.000, 0.000, 0.000)
Er (0.000, 0.500, 0.500)
Er (0.099, 0.473, 0.000)
Er (0.473, 0.099, 0.000)
Er (0.500, 0.000, 0.500)
Er (0.527, 0.527, 0.626)
Er (0.901, 0.901, 0.374)
In (0.263, 0.263, 0.660)
In (0.397, 0.737, 0.000)
In (0.603, 0.603, 0.340)
In (0.737, 0.397, 0.000)


(23)
Computed, not measured: crystalline Li2BPd4 at its relaxed geometry at the PBE level of DFT.

Formation energy ... -20 kJ/mol of atoms
Energy relative to the lowest polymorph listed for this composition ... 0.77 eV per formula unit
Size of the total moment ... 0.0 μB/f.u.
Raw total energy ... -4.6757 eV per atom

Unit cell a=4.121 b=4.121 c=12.759 alpha=90.00 beta=90.00 gamma=90.00
Atoms (fractional coordinates):
Li (0.000, 0.000, 0.136)
Li (0.000, 0.000, 0.864)
Li (0.500, 0.500, 0.364)
Li (0.500, 0.500, 0.636)
B (0.000, 0.000, 0.500)
B (0.500, 0.500, 0.000)
Pd (0.000, 0.000, 0.337)
Pd (0.000, 0.000, 0.663)
Pd (0.000, 0.500, 0.000)
Pd (0.000, 0.500, 0.500)
Pd (0.500, 0.000, 0.000)
Pd (0.500, 0.000, 0.500)
Pd (0.500, 0.500, 0.163)
Pd (0.500, 0.500, 0.837)